VASP calculation (GGA+U) on a geometry-optimized CoHg2F6 structure.

abc: 5.9479 5.4189 11.1245
angles: 90.00 122.31 90.00
Last column: nearest neighbours and their distance in Å.
Positions (direct):
Co  0.0000  0.0000  0.0000  6 F 2.05-2.06
Co  0.0000  0.5000  0.5000  6 F 2.05-2.06
Hg  0.3065  0.0007  0.8062  6 F 2.28-2.41
Hg  0.3065  0.4993  0.3062  6 F 2.28-2.41
Hg  0.6935  0.5007  0.6938  6 F 2.28-2.41
Hg  0.6935  0.9993  0.1938  6 F 2.28-2.41
F  0.0096  0.2086  0.1575  1 Co 2.06, 1 Hg 2.28
F  0.0096  0.2914  0.6575  1 Co 2.06, 1 Hg 2.28
F  0.3031  0.1813  0.0003  1 Co 2.05
F  0.3031  0.3187  0.5003  1 Co 2.05
F  0.3046  0.7101  0.6569  1 Co 2.06, 1 Hg 2.28
F  0.3046  0.7899  0.1569  1 Co 2.06, 1 Hg 2.28
F  0.6954  0.2101  0.8431  1 Co 2.06, 1 Hg 2.28
F  0.6954  0.2899  0.3431  1 Co 2.06, 1 Hg 2.28
F  0.6969  0.6813  0.4997  1 Co 2.05
F  0.6969  0.8187  0.9997  1 Co 2.05
F  0.9904  0.7086  0.3425  1 Co 2.06, 1 Hg 2.28
F  0.9904  0.7914  0.8425  1 Co 2.06, 1 Hg 2.28

Calculated total energy = -63.4 eV per cell
Fermi-level density of states = 0.007 states/eV/f.u.